! PBE-GGA CdAsP2, relaxed; values from VASP
! **Formation enthalpy at 0 K**: 49.1 kJ/mol of atoms
! **Energy above the most stable polymorph in this dataset**: 0.359 eV/atom
&SYSTEM
  ibrav = 0, nat = 4, ntyp = 3
/
ATOMIC_SPECIES
Cd 112.41 Cd.upf
As 74.92 As.upf
P 30.97 P.upf
CELL_PARAMETERS angstrom
-1.7081 2.3253 4.6879
1.7081 -2.3253 4.6879
1.7081 2.3253 -4.6879
ATOMIC_POSITIONS crystal
Cd 0.0000 0.0000 0.0000
As 0.5000 0.5000 0.0000
P 0.2900 0.7900 0.5000
P 0.7100 0.2100 0.5000